The following is a DFT calculation (PBE) of a relaxed NbRe3Ru crystal.

Cell: 4.6111 4.6111 4.6111 Å, 90.00 90.00 90.00°
Element x y z (fractional)
Nb 0.0000 0.0000 0.0000
Re 0.0000 0.5000 0.5000
Re 0.5000 0.0000 0.5000
Re 0.5000 0.5000 0.0000
Ru 0.5000 0.5000 0.5000

Output
Volume   98.0 Å³ per cell
Formation energy from the elements   1.95 eV per atom
Offset from the most stable computed form   0.0 meV per atom
DFT total energy   -9.388 eV per atom